No. 1
VASP calculation (PBE-GGA) on a relaxed Pr3Nd2Te5 crystal.

E_form (uncorrected) (meV/atom): -1350
E_tot (eV per atom): -5.31

Cell and atoms, written as CIF:
```
data_Pr3Nd2Te5
_chemical_formula_sum 'Pr3 Nd2 Te5'
_space_group_name_H-M_alt 'P 1'
_space_group_IT_number 1
_cell_length_a 4.306
_cell_length_b 8.420
_cell_length_c 9.704
_cell_angle_alpha 78.59
_cell_angle_beta 77.18
_cell_angle_gamma 75.19
loop_
_space_group_symop_operation_xyz
'x,y,z'
loop_
_atom_site_label
_atom_site_type_symbol
_atom_site_fract_x
_atom_site_fract_y
_atom_site_fract_z
_atom_site_occupancy
Pr1 Pr 0.500 0.500 0.500 1
Pr2 Pr 0.120 0.630 0.131 1
Pr3 Pr 0.880 0.370 0.869 1
Nd1 Nd 0.347 0.060 0.247 1
Nd2 Nd 0.653 0.940 0.753 1
Te1 Te 0.000 0.000 0.000 1
Te2 Te 0.114 0.195 0.577 1
Te3 Te 0.886 0.805 0.423 1
Te4 Te 0.718 0.354 0.210 1
Te5 Te 0.282 0.646 0.790 1
```



No. 2
VASP calculation (PBE-GGA) on a relaxed PrNdTe2 crystal.

E above lowest polymorph (meV/atom): 97.3
E_form (uncorrected) (meV/atom): -1335
E_tot (eV per atom): -5.29

Cell and atoms, written as CIF:
```
data_PrNdTe2
_chemical_formula_sum 'Pr1 Nd1 Te2'
_space_group_name_H-M_alt 'P 1'
_space_group_IT_number 1
_cell_length_a 5.503
_cell_length_b 5.503
_cell_length_c 5.503
_cell_angle_alpha 60.00
_cell_angle_beta 60.00
_cell_angle_gamma 60.00
loop_
_space_group_symop_operation_xyz
'x,y,z'
loop_
_atom_site_label
_atom_site_type_symbol
_atom_site_fract_x
_atom_site_fract_y
_atom_site_fract_z
_atom_site_occupancy
Pr1 Pr 0.000 0.000 0.000 1
Te1 Te 0.250 0.250 0.250 1
Te2 Te 0.750 0.750 0.750 1
Nd1 Nd 0.500 0.500 0.500 1
```



No. 3
VASP calculation (PBE-GGA) on a relaxed Pr3NdTe4 crystal.

E above lowest polymorph (meV/atom): 0.0
E_form (uncorrected) (meV/atom): -1435
E_tot (eV per atom): -5.39

Cell and atoms, written as CIF:
```
data_Pr3NdTe4
_chemical_formula_sum 'Pr3 Nd1 Te4'
_space_group_name_H-M_alt 'P 1'
_space_group_IT_number 1
_cell_length_a 4.480
_cell_length_b 7.861
_cell_length_c 7.861
_cell_angle_alpha 108.97
_cell_angle_beta 90.00
_cell_angle_gamma 90.00
loop_
_space_group_symop_operation_xyz
'x,y,z'
loop_
_atom_site_label
_atom_site_type_symbol
_atom_site_fract_x
_atom_site_fract_y
_atom_site_fract_z
_atom_site_occupancy
Pr1 Pr 0.000 0.000 0.500 1
Pr2 Pr 0.500 0.500 0.500 1
Pr3 Pr 0.000 0.500 0.000 1
Nd1 Nd 0.500 0.000 0.000 1
Te1 Te 0.000 0.248 0.248 1
Te2 Te 0.500 0.751 0.249 1
Te3 Te 0.000 0.752 0.752 1
Te4 Te 0.500 0.249 0.751 1
```



No. 4
VASP calculation (PBE-GGA) on a relaxed Pr3Nd5Te8 crystal.

E_form (uncorrected) (meV/atom): -1425
E_tot (eV per atom): -5.38

Cell and atoms, written as CIF:
```
data_Pr3Nd5Te8
_chemical_formula_sum 'Pr3 Nd5 Te8'
_space_group_name_H-M_alt 'P 1'
_space_group_IT_number 1
_cell_length_a 9.028
_cell_length_b 9.028
_cell_length_c 9.022
_cell_angle_alpha 59.98
_cell_angle_beta 59.98
_cell_angle_gamma 60.00
loop_
_space_group_symop_operation_xyz
'x,y,z'
loop_
_atom_site_label
_atom_site_type_symbol
_atom_site_fract_x
_atom_site_fract_y
_atom_site_fract_z
_atom_site_occupancy
Pr1 Pr 0.500 0.000 0.500 1
Pr2 Pr 0.000 0.000 0.500 1
Pr3 Pr 0.000 0.500 0.500 1
Nd1 Nd 0.500 0.000 0.000 1
Nd2 Nd 0.500 0.500 0.000 1
Nd3 Nd 0.000 0.000 0.000 1
Nd4 Nd 0.000 0.500 0.000 1
Nd5 Nd 0.500 0.500 0.500 1
Te1 Te 0.250 0.250 0.752 1
Te2 Te 0.250 0.748 0.752 1
Te3 Te 0.748 0.250 0.752 1
Te4 Te 0.749 0.749 0.753 1
Te5 Te 0.750 0.750 0.248 1
Te6 Te 0.750 0.252 0.248 1
Te7 Te 0.252 0.750 0.248 1
Te8 Te 0.251 0.251 0.247 1
```



No. 5
VASP calculation (PBE-GGA) on a relaxed PrNdTe crystal.

E above lowest polymorph (meV/atom): 157.3
E_form (uncorrected) (meV/atom): -811
E_tot (eV per atom): -5.04

Cell and atoms, written as CIF:
```
data_PrNdTe
_chemical_formula_sum 'Pr1 Nd1 Te1'
_space_group_name_H-M_alt 'P 1'
_space_group_IT_number 1
_cell_length_a 7.123
_cell_length_b 4.168
_cell_length_c 4.168
_cell_angle_alpha 120.00
_cell_angle_beta 90.00
_cell_angle_gamma 90.00
loop_
_space_group_symop_operation_xyz
'x,y,z'
loop_
_atom_site_label
_atom_site_type_symbol
_atom_site_fract_x
_atom_site_fract_y
_atom_site_fract_z
_atom_site_occupancy
Pr1 Pr 0.706 0.667 0.333 1
Te1 Te 0.002 0.000 0.000 1
Nd1 Nd 0.292 0.333 0.667 1
```



No. 6
VASP calculation (PBE-GGA) on a relaxed PrNd2Te crystal.

E above lowest polymorph (meV/atom): 123.2
E_form (uncorrected) (meV/atom): -572
E_tot (eV per atom): -4.94

Cell and atoms, written as CIF:
```
data_PrNd2Te
_chemical_formula_sum 'Pr1 Nd2 Te1'
_space_group_name_H-M_alt 'P 1'
_space_group_IT_number 1
_cell_length_a 4.045
_cell_length_b 4.045
_cell_length_c 10.295
_cell_angle_alpha 78.67
_cell_angle_beta 78.67
_cell_angle_gamma 60.00
loop_
_space_group_symop_operation_xyz
'x,y,z'
loop_
_atom_site_label
_atom_site_type_symbol
_atom_site_fract_x
_atom_site_fract_y
_atom_site_fract_z
_atom_site_occupancy
Pr1 Pr 0.500 0.500 0.501 1
Nd1 Nd 0.071 0.071 0.788 1
Nd2 Nd 0.263 0.263 0.211 1
Te1 Te 0.667 0.667 0.999 1
```



No. 7
VASP calculation (PBE-GGA) on a relaxed PrNdTe2 crystal.

E above lowest polymorph (meV/atom): 9.1
E_form (uncorrected) (meV/atom): -1423
E_tot (eV per atom): -5.38

Cell and atoms, written as CIF:
```
data_PrNdTe2
_chemical_formula_sum 'Pr2 Nd2 Te4'
_space_group_name_H-M_alt 'P 1'
_space_group_IT_number 1
_cell_length_a 4.416
_cell_length_b 4.416
_cell_length_c 15.423
_cell_angle_alpha 90.00
_cell_angle_beta 90.00
_cell_angle_gamma 120.00
loop_
_space_group_symop_operation_xyz
'x,y,z'
loop_
_atom_site_label
_atom_site_type_symbol
_atom_site_fract_x
_atom_site_fract_y
_atom_site_fract_z
_atom_site_occupancy
Pr1 Pr 0.667 0.333 0.250 1
Pr2 Pr 0.333 0.667 0.750 1
Nd1 Nd 0.000 0.000 0.500 1
Nd2 Nd 0.000 0.000 0.000 1
Te1 Te 0.333 0.667 0.377 1
Te2 Te 0.667 0.333 0.877 1
Te3 Te 0.667 0.333 0.623 1
Te4 Te 0.333 0.667 0.123 1
```



No. 8
VASP calculation (PBE-GGA) on a relaxed Pr2Nd2Te3 crystal.

E_form (uncorrected) (meV/atom): -1231
E_tot (eV per atom): -5.31

Cell and atoms, written as CIF:
```
data_Pr2Nd2Te3
_chemical_formula_sum 'Pr4 Nd4 Te6'
_space_group_name_H-M_alt 'P 1'
_space_group_IT_number 1
_cell_length_a 8.209
_cell_length_b 8.209
_cell_length_c 8.209
_cell_angle_alpha 109.47
_cell_angle_beta 109.47
_cell_angle_gamma 109.47
loop_
_space_group_symop_operation_xyz
'x,y,z'
loop_
_atom_site_label
_atom_site_type_symbol
_atom_site_fract_x
_atom_site_fract_y
_atom_site_fract_z
_atom_site_occupancy
Pr1 Pr 0.500 0.356 0.500 1
Pr2 Pr 0.000 0.000 0.356 1
Pr3 Pr 0.644 0.144 0.144 1
Pr4 Pr 0.856 0.500 0.000 1
Nd1 Nd 0.000 0.000 0.858 1
Nd2 Nd 0.500 0.858 0.500 1
Nd3 Nd 0.142 0.642 0.642 1
Nd4 Nd 0.358 0.500 0.000 1
Te1 Te 0.750 0.627 0.377 1
Te2 Te 0.250 0.873 0.123 1
Te3 Te 0.623 0.750 0.873 1
Te4 Te 0.877 0.250 0.627 1
Te5 Te 0.373 0.123 0.750 1
Te6 Te 0.127 0.377 0.250 1
```



No. 9
VASP calculation (PBE-GGA) on a relaxed PrNdTe6 crystal.

E_form (uncorrected) (meV/atom): -993
E_tot (eV per atom): -4.54

Cell and atoms, written as CIF:
```
data_PrNdTe6
_chemical_formula_sum 'Pr1 Nd1 Te6'
_space_group_name_H-M_alt 'P 1'
_space_group_IT_number 1
_cell_length_a 4.399
_cell_length_b 4.400
_cell_length_c 13.947
_cell_angle_alpha 90.00
_cell_angle_beta 99.07
_cell_angle_gamma 90.00
loop_
_space_group_symop_operation_xyz
'x,y,z'
loop_
_atom_site_label
_atom_site_type_symbol
_atom_site_fract_x
_atom_site_fract_y
_atom_site_fract_z
_atom_site_occupancy
Pr1 Pr 0.172 0.500 0.344 1
Nd1 Nd 0.828 0.000 0.656 1
Te1 Te 0.578 0.500 0.155 1
Te2 Te 0.422 0.000 0.844 1
Te3 Te 0.293 0.500 0.586 1
Te4 Te 0.708 0.000 0.416 1
Te5 Te 0.922 0.500 0.843 1
Te6 Te 0.078 0.000 0.156 1
```



No. 10
VASP calculation (PBE-GGA) on a relaxed Pr2NdTe crystal.

E above lowest polymorph (meV/atom): 124.5
E_form (uncorrected) (meV/atom): -569
E_tot (eV per atom): -4.94

Cell and atoms, written as CIF:
```
data_Pr2NdTe
_chemical_formula_sum 'Pr2 Nd1 Te1'
_space_group_name_H-M_alt 'P 1'
_space_group_IT_number 1
_cell_length_a 4.064
_cell_length_b 4.064
_cell_length_c 10.312
_cell_angle_alpha 78.63
_cell_angle_beta 78.63
_cell_angle_gamma 60.00
loop_
_space_group_symop_operation_xyz
'x,y,z'
loop_
_atom_site_label
_atom_site_type_symbol
_atom_site_fract_x
_atom_site_fract_y
_atom_site_fract_z
_atom_site_occupancy
Pr1 Pr 0.071 0.071 0.786 1
Pr2 Pr 0.262 0.262 0.213 1
Nd1 Nd 0.500 0.500 0.501 1
Te1 Te 0.667 0.667 0.999 1
```



No. 11
VASP calculation (PBE-GGA) on a relaxed Pr5NdTe8 crystal.

E_form (uncorrected) (meV/atom): -1444
E_tot (eV per atom): -5.29

Cell and atoms, written as CIF:
```
data_Pr5NdTe8
_chemical_formula_sum 'Pr5 Nd1 Te8'
_space_group_name_H-M_alt 'P 1'
_space_group_IT_number 1
_cell_length_a 8.308
_cell_length_b 8.308
_cell_length_c 8.308
_cell_angle_alpha 109.53
_cell_angle_beta 109.35
_cell_angle_gamma 109.53
loop_
_space_group_symop_operation_xyz
'x,y,z'
loop_
_atom_site_label
_atom_site_type_symbol
_atom_site_fract_x
_atom_site_fract_y
_atom_site_fract_z
_atom_site_occupancy
Pr1 Pr 0.998 0.373 0.125 1
Pr2 Pr 0.875 0.873 0.248 1
Pr3 Pr 0.752 0.627 0.625 1
Pr4 Pr 0.500 0.000 0.500 1
Pr5 Pr 0.375 0.127 0.002 1
Nd1 Nd 0.250 0.500 0.750 1
Te1 Te 0.126 0.749 0.025 1
Te2 Te 0.975 0.101 0.724 1
Te3 Te 0.776 0.250 0.375 1
Te4 Te 0.625 0.401 0.875 1
Te5 Te 0.473 0.599 0.224 1
Te6 Te 0.623 0.899 0.874 1
Te7 Te 0.276 0.251 0.377 1
Te8 Te 0.125 0.750 0.527 1
```